(1)
A relaxed structure of CaAl2Pb, computed with PBE.

abc: 3.3924 5.1813 5.6847
angles: 90.00 90.00 90.00
Space group Pmmm (No. 47)
Inequivalent atoms, fractional coordinates:
Ca  0.0000  0.0000  0.0000 x1
Al  0.5000  0.5000  0.2377 x2
Pb  0.5000  0.0000  0.5000 x1

magnetic moment	0.0	μB/f.u.
ΔH_f (0 K)	-0.030	eV per atom
raw total energy	-13.32	eV for the cell shown

***

(2)
A relaxed structure of CaAlPb, computed with PBE.

abc: 7.1094 7.1094 7.1094
angles: 90.00 90.00 90.00
Space group F-43m (No. 216)
Inequivalent atoms, fractional coordinates:
Ca  0.0000  0.0000  0.0000 x4
Al  0.2500  0.2500  0.7500 x4
Pb  0.0000  0.0000  0.5000 x4

magnetic moment	0.0	μB/f.u.
ΔH_f (0 K)	-0.083	eV per atom
raw total energy	-38.81	eV for the cell shown

***

(3)
A relaxed structure of Ca2AlPb, computed with PBE.

abc: 12.2210 3.4915 5.6596
angles: 90.00 109.00 90.00
Space group Cm (No. 8)
Inequivalent atoms, fractional coordinates:
Ca  0.0000  0.0000  0.0000 x2
Ca  0.2101  0.0000  0.6196 x2
Al  0.4592  0.0000  0.4897 x2
Pb  0.2623  0.5000  0.1543 x2

magnetic moment	0.0	μB/f.u.
ΔH_f (0 K)	-0.275	eV per atom
raw total energy	-25.11	eV for the cell shown
relative energy among the computed polymorphs	74	meV/atom

***

(4)
A relaxed structure of CaAl2Pb, computed with PBE.

abc: 3.3658 4.7194 6.2586
angles: 90.00 90.05 90.00
Space group Pm (No. 6)
Inequivalent atoms, fractional coordinates:
Ca  0.0000  0.0000  0.0000 x1
Al  0.5003  0.0000  0.4487 x1
Al  0.5008  0.5000  0.2356 x1
Pb  0.4991  0.5000  0.7368 x1

magnetic moment	0.0	μB/f.u.
ΔH_f (0 K)	-0.042	eV per atom
raw total energy	-13.36	eV for the cell shown